Record 1
Density functional theory data (PBE-GGA) for crystalline NpV2Sn at its relaxed geometry.

It has space group R-3m (No. 166, hexagonal axes), with a = 3.1567 Å, b = 3.1567 Å, c = 24.6922 Å, α = 90.00°, β = 90.00° and γ = 120.00°. The inequivalent atoms are Np at (0.0000, 0.0000, 0.0000), V at (0.0000, 0.0000, 0.2566) and Sn at (0.0000, 0.0000, 0.5000).

Its formation energy is 1.9 eV per formula unit. The calculation puts the total DFT energy (no corrections) at -8.331 eV per atom. The value obtained for the density of states at the Fermi level is 5.8 states/eV/f.u. Its crystal system is trigonal.



Record 2
Density functional theory data (PBE-GGA) for crystalline KLaS2O8 at its relaxed geometry.

It has space group P-1 (No. 2), with a = 5.534 Å, b = 7.108 Å, c = 9.211 Å, α = 82.62°, β = 88.67° and γ = 89.88°. The inequivalent atoms are K at (0.248, 0.332, 0.183), La at (0.215, 0.191, 0.719), S at (0.255, 0.819, 0.068), S at (0.268, 0.719, 0.557), O at (0.039, 0.689, 0.078), O at (0.115, 0.679, 0.434), O at (0.171, 0.889, 0.618), O at (0.210, 0.953, 0.178), O at (0.266, 0.556, 0.676), O at (0.287, 0.917, 0.918), O at (0.475, 0.702, 0.108) and O at (0.477, 0.243, 0.497).

Its formation energy without anion corrections is -2.11 eV per atom. The calculation puts the total DFT energy (no corrections) at -6.606 eV per atom. The value obtained for the density of states at the Fermi level is 0.0 states/eV/f.u. Its crystal system is triclinic.



Record 3
Density functional theory data (PBE-GGA) for crystalline MgCd2GaPd2 at its relaxed geometry.

It has space group Pmc2_1 (No. 26), with a = 4.373 Å, b = 8.530 Å, c = 5.767 Å, α = 90.00°, β = 90.00° and γ = 90.00°. The inequivalent atoms are Mg at (0.000, 0.046, 0.000), Cd at (0.000, 0.308, 0.361), Cd at (0.500, 0.460, 0.109), Ga at (0.500, 0.195, 0.720), Pd at (0.000, 0.350, 0.839) and Pd at (0.500, 0.100, 0.282).

Its formation energy is -2.5 eV per formula unit. The calculation puts the total DFT energy (no corrections) at -3.220 eV per atom. The value obtained for the density of states at the Fermi level is 1.9 states/eV/f.u. Its crystal system is orthorhombic.



Record 4
Density functional theory data (PBE-GGA) for crystalline ScSn3N at its relaxed geometry.

It has space group Pm-3m (No. 221), with a = 4.746 Å, b = 4.746 Å, c = 4.746 Å, α = 90.00°, β = 90.00° and γ = 90.00°. The inequivalent atoms are Sc at (0.000, 0.000, 0.000), Sn at (0.000, 0.500, 0.500) and N at (0.500, 0.500, 0.500).

Its formation energy without anion corrections is 0.27 eV per atom. The calculation puts the total DFT energy (no corrections) at -5.059 eV per atom. The value obtained for the density of states at the Fermi level is 3.8 states/eV/f.u. Its crystal system is cubic.



Q: Which formula does entry 1 have?
A: NpV2Sn